1.
SmHo6Th2: relaxed, GGA-PBE.

Unit cell a=3.5603 b=3.5603 c=26.2757 alpha=90.00 beta=90.00 gamma=120.00
Closest atoms and distances in Å follow each position.
Fractional positions:
Sm (0.0000, 0.0000, 0.0000)  6 Sm 3.56, 6 Ho 3.57
Ho (0.0000, 0.0000, 0.2177)  9 Ho 3.48-3.56, 3 Th 3.59
Ho (0.0000, 0.0000, 0.4369)  7 Ho 3.32-3.56, 3 Th 3.49
Ho (0.0000, 0.0000, 0.5631)  7 Ho 3.32-3.56, 3 Th 3.49
Ho (0.0000, 0.0000, 0.7823)  9 Ho 3.48-3.56, 3 Th 3.59
Ho (0.3333, 0.6667, 0.1109)  9 Ho 3.48-3.56, 3 Sm 3.57
Ho (0.3333, 0.6667, 0.8891)  9 Ho 3.48-3.56, 3 Sm 3.57
Th (0.3333, 0.6667, 0.3296)  6 Ho 3.49-3.59, 6 Th 3.56
Th (0.3333, 0.6667, 0.6704)  6 Ho 3.49-3.59, 6 Th 3.56

Values from the calculation:
Calculated total energy: -5.15 eV per atom
ΔE to the lowest computed polymorph: 0.0000 eV/atom
Crystal system: hexagonal

2.
HoTl5S4: relaxed, GGA-PBE.

Unit cell a=9.4422 b=9.4422 c=8.5140 alpha=107.31 beta=107.31 gamma=24.89
Closest atoms and distances in Å follow each position.
Fractional positions:
Ho (0.0000, 0.0000, 0.0000)  6 S 2.76
Tl (0.0000, 0.0000, 0.5000)  4 S 3.18
Tl (0.3172, 0.3172, 0.6936)  3 S 2.87-2.94
Tl (0.3425, 0.3425, 0.1924)  3 S 2.88-3.19
Tl (0.6575, 0.6575, 0.8076)  3 S 2.88-3.19
Tl (0.6828, 0.6828, 0.3064)  3 S 2.87-2.94
S (0.1549, 0.1549, 0.0449)  1 Ho 2.76, 4 Tl 2.88-2.94
S (0.4802, 0.4802, 0.7716)  2 Ho 2.76, 1 Tl 2.87
S (0.5198, 0.5198, 0.2284)  2 Ho 2.76, 1 Tl 2.87
S (0.8451, 0.8451, 0.9551)  1 Ho 2.76, 4 Tl 2.88-2.94

Values from the calculation:
Calculated total energy: -4.08 eV per atom
Raw formation energy: -0.790 eV per atom
Crystal system: monoclinic

3.
SnSeS: relaxed, GGA-PBE.

Unit cell a=7.2217 b=7.2217 c=6.5482 alpha=97.83 beta=97.83 gamma=30.40
Closest atoms and distances in Å follow each position.
Fractional positions:
Sn (0.2502, 0.2502, 0.2464)  3 S 2.60-2.62, 3 Se 2.73
Sn (0.7498, 0.7498, 0.7536)  3 S 2.60-2.62, 3 Se 2.73
Se (0.3673, 0.3673, 0.6183)  3 Sn 2.73
Se (0.6327, 0.6327, 0.3817)  3 Sn 2.73
S (0.1446, 0.1446, 0.8858)  3 Sn 2.60-2.62
S (0.8554, 0.8554, 0.1142)  3 Sn 2.60-2.62

Values from the calculation:
Calculated total energy: -4.23 eV per atom
Raw formation energy: -0.359 eV per atom
ΔE to the lowest computed polymorph: 0.0000 eV/atom
Crystal system: monoclinic

Total magnetization in μB per formula unit, matching the order above: 0.0; 0.0; 0.0